No. 1
Here is crystalline KTe2Ru2 at its relaxed geometry from Alexandria via LeMat-Bulk. Energies are from PBE.

The calculation puts the formation energy from raw total energies at -0.315 eV/atom.

a b c (Å): 4.2870 4.2870 7.6054
angles (deg): 73.63 73.63 90.00
Last column: nearest neighbours and their distance in Å.
Positions (direct):
1 Ru 0.7500 0.2500 0.5000  4 Te 2.59
2 Ru 0.2500 0.7500 0.5000  4 Te 2.59
3 K 0.0000 0.0000 0.0000  8 Te 3.65
4 Te 0.3544 0.3544 0.2913  4 Ru 2.59
5 Te 0.6456 0.6456 0.7087  4 Ru 2.59



No. 2
Here is crystalline Pm12Nd5Pb3 at its relaxed geometry from Alexandria via LeMat-Bulk. Energies are from PBE.

Its energy relative to the elements is 12.7 eV per formula unit.

a b c (Å): 15.7824 15.7824 15.7824
angles (deg): 109.47 109.47 109.47
Last column: nearest neighbours and their distance in Å.
Positions (direct):
1 Pb 0.7500 0.3750 0.1250  8 Pm 3.22-3.34
2 Pb 0.8750 0.7500 0.1250  8 Pm 3.22-3.34
3 Pb 0.3750 0.7500 0.6250  8 Pm 3.22-3.34
4 Pb 0.2500 0.1250 0.3750  8 Pm 3.22-3.34
5 Pb 0.8750 0.1250 0.2500  8 Pm 3.22-3.34
6 Pb 0.3750 0.6250 0.2500  8 Pm 3.22-3.34
7 Pb 0.6250 0.3750 0.7500  8 Pm 3.22-3.34
8 Pb 0.1250 0.8750 0.7500  8 Pm 3.22-3.34
9 Pb 0.7500 0.8750 0.6250  8 Pm 3.22-3.34
10 Pb 0.6250 0.2500 0.3750  8 Pm 3.22-3.34
11 Pb 0.1250 0.2500 0.8750  8 Pm 3.22-3.34
12 Pb 0.2500 0.6250 0.8750  8 Pm 3.22-3.34
13 Nd 0.1250 0.3750 0.2500  4 Pm 3.03
14 Nd 0.0000 0.5000 0.0000  6 Pm 3.17
15 Nd 0.0000 0.0000 0.0000  6 Pm 3.17
16 Nd 0.3750 0.2500 0.1250  4 Pm 3.03
17 Nd 0.5000 0.0000 0.5000  6 Pm 3.17
18 Nd 0.5000 0.5000 0.0000  6 Pm 3.17
19 Nd 0.1250 0.7500 0.3750  4 Pm 3.03
20 Nd 0.7500 0.1250 0.8750  4 Pm 3.03
21 Nd 0.7500 0.6250 0.3750  4 Pm 3.03
22 Nd 0.3750 0.1250 0.7500  4 Pm 3.03
23 Nd 0.6250 0.8750 0.2500  4 Pm 3.03
24 Nd 0.5000 0.5000 0.5000  6 Pm 3.17
25 Nd 0.5000 0.0000 0.0000  6 Pm 3.17
26 Nd 0.0000 0.0000 0.5000  6 Pm 3.17
27 Nd 0.2500 0.3750 0.6250  4 Pm 3.03
28 Nd 0.2500 0.8750 0.1250  4 Pm 3.03
29 Nd 0.0000 0.5000 0.5000  6 Pm 3.17
30 Nd 0.8750 0.2500 0.6250  4 Pm 3.03
31 Nd 0.6250 0.7500 0.8750  4 Pm 3.03
32 Nd 0.8750 0.6250 0.7500  4 Pm 3.03
33 Pm 0.7321 0.1438 0.0648  2 Nd 3.03-3.17, 2 Pb 3.22-3.34, 1 Pm 3.26
34 Pm 0.3327 0.5648 0.4211  2 Nd 3.03-3.17, 2 Pb 3.22-3.34, 1 Pm 3.26
35 Pm 0.9352 0.3562 0.2679  2 Nd 3.03-3.17, 2 Pb 3.22-3.34, 1 Pm 3.26
36 Pm 0.5648 0.2321 0.1438  2 Nd 3.03-3.17, 2 Pb 3.22-3.34, 1 Pm 3.26
37 Pm 0.5884 0.7321 0.6673  2 Nd 3.03-3.17, 2 Pb 3.22-3.34, 1 Pm 3.26
38 Pm 0.9352 0.5789 0.1673  2 Nd 3.03-3.17, 2 Pb 3.22-3.34, 1 Pm 3.26
39 Pm 0.3327 0.7679 0.4116  2 Nd 3.03-3.17, 2 Pb 3.22-3.34, 1 Pm 3.26
40 Pm 0.0789 0.9116 0.1438  2 Nd 3.03-3.17, 2 Pb 3.22-3.34, 1 Pm 3.26
41 Pm 0.5789 0.9352 0.6673  2 Nd 3.03-3.17, 2 Pb 3.22-3.34, 1 Pm 3.26
42 Pm 0.7321 0.5884 0.1673  2 Nd 3.03-3.17, 2 Pb 3.22-3.34, 1 Pm 3.26
43 Pm 0.7679 0.4352 0.3562  2 Nd 3.03-3.17, 2 Pb 3.22-3.34, 1 Pm 3.26
44 Pm 0.8327 0.9211 0.0648  2 Nd 3.03-3.17, 2 Pb 3.22-3.34, 1 Pm 3.26
45 Pm 0.1438 0.7321 0.5648  2 Nd 3.03-3.17, 2 Pb 3.22-3.34, 1 Pm 3.26
46 Pm 0.3562 0.4211 0.0884  2 Nd 3.03-3.17, 2 Pb 3.22-3.34, 1 Pm 3.26
47 Pm 0.0884 0.9211 0.3562  2 Nd 3.03-3.17, 2 Pb 3.22-3.34, 1 Pm 3.26
48 Pm 0.4116 0.1438 0.5789  2 Nd 3.03-3.17, 2 Pb 3.22-3.34, 1 Pm 3.26
49 Pm 0.0884 0.1673 0.2321  2 Nd 3.03-3.17, 2 Pb 3.22-3.34, 1 Pm 3.26
50 Pm 0.4352 0.6673 0.0789  2 Nd 3.03-3.17, 2 Pb 3.22-3.34, 1 Pm 3.26
51 Pm 0.8327 0.9116 0.2679  2 Nd 3.03-3.17, 2 Pb 3.22-3.34, 1 Pm 3.26
52 Pm 0.1438 0.4116 0.0789  2 Nd 3.03-3.17, 2 Pb 3.22-3.34, 1 Pm 3.26
53 Pm 0.3562 0.9352 0.7679  2 Nd 3.03-3.17, 2 Pb 3.22-3.34, 1 Pm 3.26
54 Pm 0.5789 0.6438 0.4116  2 Nd 3.03-3.17, 2 Pb 3.22-3.34, 1 Pm 3.26
55 Pm 0.9211 0.8327 0.5648  2 Nd 3.03-3.17, 2 Pb 3.22-3.34, 1 Pm 3.26
56 Pm 0.7679 0.3327 0.9116  2 Nd 3.03-3.17, 2 Pb 3.22-3.34, 1 Pm 3.26
57 Pm 0.4211 0.3562 0.5884  2 Nd 3.03-3.17, 2 Pb 3.22-3.34, 1 Pm 3.26
58 Pm 0.0789 0.1673 0.4352  2 Nd 3.03-3.17, 2 Pb 3.22-3.34, 1 Pm 3.26
59 Pm 0.2321 0.6673 0.0884  2 Nd 3.03-3.17, 2 Pb 3.22-3.34, 1 Pm 3.26
60 Pm 0.1673 0.0884 0.7321  2 Nd 3.03-3.17, 2 Pb 3.22-3.34, 1 Pm 3.26
61 Pm 0.6438 0.0648 0.2321  2 Nd 3.03-3.17, 2 Pb 3.22-3.34, 1 Pm 3.26
62 Pm 0.8562 0.5884 0.9211  2 Nd 3.03-3.17, 2 Pb 3.22-3.34, 1 Pm 3.26
63 Pm 0.5648 0.3327 0.9211  2 Nd 3.03-3.17, 2 Pb 3.22-3.34, 1 Pm 3.26
64 Pm 0.5884 0.8562 0.4211  2 Nd 3.03-3.17, 2 Pb 3.22-3.34, 1 Pm 3.26
65 Pm 0.9116 0.8327 0.7679  2 Nd 3.03-3.17, 2 Pb 3.22-3.34, 1 Pm 3.26
66 Pm 0.9116 0.0789 0.6438  2 Nd 3.03-3.17, 2 Pb 3.22-3.34, 1 Pm 3.26
67 Pm 0.8562 0.2679 0.4352  2 Nd 3.03-3.17, 2 Pb 3.22-3.34, 1 Pm 3.26
68 Pm 0.1673 0.0789 0.9352  2 Nd 3.03-3.17, 2 Pb 3.22-3.34, 1 Pm 3.26
69 Pm 0.6438 0.5789 0.9116  2 Nd 3.03-3.17, 2 Pb 3.22-3.34, 1 Pm 3.26
70 Pm 0.4211 0.0648 0.3327  2 Nd 3.03-3.17, 2 Pb 3.22-3.34, 1 Pm 3.26
71 Pm 0.2679 0.4116 0.8327  2 Nd 3.03-3.17, 2 Pb 3.22-3.34, 1 Pm 3.26
72 Pm 0.2321 0.5648 0.6438  2 Nd 3.03-3.17, 2 Pb 3.22-3.34, 1 Pm 3.26
73 Pm 0.9211 0.0884 0.8562  2 Nd 3.03-3.17, 2 Pb 3.22-3.34, 1 Pm 3.26
74 Pm 0.6673 0.2321 0.5884  2 Nd 3.03-3.17, 2 Pb 3.22-3.34, 1 Pm 3.26
75 Pm 0.4352 0.7679 0.8562  2 Nd 3.03-3.17, 2 Pb 3.22-3.34, 1 Pm 3.26
76 Pm 0.0648 0.4211 0.8327  2 Nd 3.03-3.17, 2 Pb 3.22-3.34, 1 Pm 3.26
77 Pm 0.4116 0.2679 0.3327  2 Nd 3.03-3.17, 2 Pb 3.22-3.34, 1 Pm 3.26
78 Pm 0.0648 0.6438 0.7321  2 Nd 3.03-3.17, 2 Pb 3.22-3.34, 1 Pm 3.26
79 Pm 0.6673 0.4352 0.5789  2 Nd 3.03-3.17, 2 Pb 3.22-3.34, 1 Pm 3.26
80 Pm 0.2679 0.8562 0.9352  2 Nd 3.03-3.17, 2 Pb 3.22-3.34, 1 Pm 3.26



No. 3
Here is crystalline Li6NdAu6 at its relaxed geometry from Alexandria via LeMat-Bulk. Energies are from PBE.

Its energy relative to the elements is -6.4 eV per formula unit.

a b c (Å): 5.3213 7.0079 7.0079
angles (deg): 80.79 67.69 67.69
Last column: nearest neighbours and their distance in Å.
Positions (direct):
1 Li 0.0000 0.5000 0.0000  4 Li 2.66-2.67, 6 Au 2.68-2.78
2 Li 0.5000 0.5000 0.0000  4 Li 2.66-2.67, 6 Au 2.68-2.78
3 Li 0.0000 0.0000 0.5000  4 Li 2.66-2.67, 6 Au 2.68-2.78
4 Li 0.5000 0.0000 0.5000  4 Li 2.66-2.67, 6 Au 2.68-2.78
5 Li 0.5000 0.7627 0.2373  4 Li 2.67, 6 Au 2.79-2.82
6 Li 0.5000 0.2373 0.7627  4 Li 2.67, 6 Au 2.79-2.82
7 Nd 0.0000 0.0000 0.0000  8 Au 3.05-3.22
8 Au 0.3431 0.6569 0.6569  6 Li 2.77-2.79, 3 Au 2.90-2.99
9 Au 0.6569 0.3431 0.3431  6 Li 2.77-2.79, 3 Au 2.90-2.99
10 Au 0.0000 0.3359 0.6641  6 Li 2.78-2.81, 1 Au 2.98, 1 Nd 3.05
11 Au 0.0000 0.6641 0.3359  6 Li 2.78-2.81, 1 Au 2.98, 1 Nd 3.05
12 Au 0.3041 0.1959 0.1959  6 Li 2.68-2.82, 2 Au 2.99
13 Au 0.6959 0.8041 0.8041  6 Li 2.68-2.82, 2 Au 2.99



No. 4
Here is crystalline Li5Ga3Rh at its relaxed geometry from Alexandria via LeMat-Bulk. Energies are from PBE.

Its energy relative to the elements is -1.2 eV per formula unit.

a b c (Å): 5.8541 5.8541 10.0275
angles (deg): 82.78 82.78 79.52
Last column: nearest neighbours and their distance in Å.
Positions (direct):
1 Li 0.0080 0.3959 0.3303  3 Ga 2.57-2.70, 1 Rh 2.69, 2 Li 2.85-2.86
2 Li 0.3269 0.6731 0.0000  3 Ga 2.45-2.74, 1 Li 2.59
3 Li 0.7314 0.7314 0.1574  1 Rh 2.57, 3 Ga 2.63-2.78, 3 Li 2.80-2.86
4 Li 0.4693 0.4693 0.3505  2 Ga 2.69-2.77, 3 Li 2.80-2.85
5 Li 0.5307 0.5307 0.6495  2 Ga 2.69-2.77, 3 Li 2.80-2.85
6 Li 0.2686 0.2686 0.8426  1 Rh 2.57, 3 Ga 2.63-2.78, 3 Li 2.80-2.86
7 Li 0.3959 0.0080 0.3303  3 Ga 2.57-2.70, 1 Rh 2.69, 2 Li 2.85-2.86
8 Li 0.6731 0.3269 0.0000  3 Ga 2.45-2.74, 1 Li 2.59
9 Li 0.9920 0.6041 0.6697  3 Ga 2.57-2.70, 1 Rh 2.69, 2 Li 2.85-2.86
10 Li 0.6041 0.9920 0.6697  3 Ga 2.57-2.70, 1 Rh 2.69, 2 Li 2.85-2.86
11 Ga 0.7595 0.7595 0.8919  1 Rh 2.52, 1 Ga 2.57, 5 Li 2.63-2.74
12 Ga 0.7487 0.7487 0.4313  1 Ga 2.47, 1 Rh 2.54, 4 Li 2.57-2.77
13 Ga 0.0000 0.0000 0.0000  4 Li 2.45-2.66, 2 Rh 2.48, 2 Ga 2.57
14 Ga 0.0000 0.0000 0.5000  2 Ga 2.47, 2 Rh 2.54, 4 Li 2.70
15 Ga 0.2405 0.2405 0.1081  1 Rh 2.52, 1 Ga 2.57, 5 Li 2.63-2.74
16 Ga 0.2513 0.2513 0.5687  1 Ga 2.47, 1 Rh 2.54, 4 Li 2.57-2.77
17 Rh 0.0184 0.0184 0.7505  4 Ga 2.48-2.54, 3 Li 2.57-2.69
18 Rh 0.9816 0.9816 0.2495  4 Ga 2.48-2.54, 3 Li 2.57-2.69



No. 5
Here is crystalline Sr2In4PdPt3 at its relaxed geometry from Alexandria via LeMat-Bulk. Energies are from PBE.

Its energy relative to the elements is -6.9 eV per formula unit.

a b c (Å): 4.7286 4.7286 10.7335
angles (deg): 90.00 90.00 90.00
Last column: nearest neighbours and their distance in Å.
Positions (direct):
1 Sr 0.5000 0.0000 0.2628  2 Pd 3.47, 6 Pt 3.47-3.63, 9 In 3.57-3.85
2 Sr 0.0000 0.5000 0.7372  6 Pt 3.47-3.63, 2 Pd 3.47, 9 In 3.57-3.85
3 In 0.5000 0.5000 0.0000  4 Pt 2.75
4 In 0.0000 0.0000 0.0000  4 Pt 2.75
5 In 0.5000 0.0000 0.6216  3 Pt 2.66-2.70, 2 Pd 2.70
6 In 0.0000 0.5000 0.3784  3 Pt 2.66-2.70, 2 Pd 2.70
7 Pd 0.5000 0.5000 0.5000  4 In 2.70
8 Pt 0.0000 0.0000 0.5000  4 In 2.70
9 Pt 0.5000 0.0000 0.8694  5 In 2.66-2.75
10 Pt 0.0000 0.5000 0.1306  5 In 2.66-2.75



No. 6
Here is crystalline K6InPb2 at its relaxed geometry from Alexandria via LeMat-Bulk. Energies are from PBE.

Its energy relative to the elements is -1.2 eV per formula unit.

a b c (Å): 6.3909 6.3909 12.0858
angles (deg): 74.67 74.67 60.00
Last column: nearest neighbours and their distance in Å.
Positions (direct):
1 K 0.5765 0.5765 0.2704  3 Pb 3.70, 3 K 4.12
2 K 0.8100 0.8100 0.5700  1 Pb 3.66, 4 K 3.84-4.03
3 K 0.6987 0.6987 0.9039  8 K 3.84-4.30, 3 In 3.85, 3 Pb 4.10
4 K 0.1900 0.1900 0.4300  1 Pb 3.66, 4 K 3.84-4.03
5 K 0.4235 0.4235 0.7296  3 Pb 3.70, 3 K 4.12
6 K 0.3013 0.3013 0.0961  8 K 3.84-4.30, 3 In 3.85, 3 Pb 4.10
7 In 0.0000 0.0000 0.0000  2 Pb 2.90
8 Pb 0.9161 0.9161 0.2516  1 In 2.90
9 Pb 0.0839 0.0839 0.7484  1 In 2.90